{
  "formula": "TmGeRh2",
  "functional": "PBE-GGA",
  "state": "relaxed",
  "lattice_angstrom": [[4.287, 0.000, 0.000], [0.000, 4.287, 0.000], [0.000, 0.000, 3.600]],
  "species": ["Tm", "Ge", "Rh", "Rh"],
  "fractional_positions": [[0.000, 0.000, 0.000], [0.500, 0.500, 0.000], [0.000, 0.500, 0.500], [0.500, 0.000, 0.500]],
  "e_form_mev_per_atom": -789,
  "space_group": "P4/mmm"
}